This record from Alexandria via LeMat-Bulk describes an optimized crystal structure of Sr3TcC. The functional is PBE.

It has space group Pm-3m (No. 221), with a = 5.3656 Å, b = 5.3656 Å, c = 5.3656 Å, α = 90.00°, β = 90.00° and γ = 90.00°. The inequivalent atoms are Sr at (0.0000, 0.0000, 0.5000), Tc at (0.5000, 0.5000, 0.5000) and C at (0.0000, 0.0000, 0.0000).

The relative energy among the computed polymorphs is 0 meV/atom.

=====

This record from Alexandria via LeMat-Bulk describes an optimized crystal structure of Sr2Tc2C3. The functional is PBE.

It has space group C2/m (No. 12), with a = 11.0254 Å, b = 3.6682 Å, c = 6.9606 Å, α = 90.00°, β = 123.47° and γ = 90.00°. The inequivalent atoms are Sr at (0.0684, 0.0000, 0.3329), Tc at (0.1979, 0.5000, 0.0811), C at (0.0000, 0.5000, 0.0000) and C at (0.2077, 0.5000, 0.7859).

=====

This record from Alexandria via LeMat-Bulk describes an optimized crystal structure of SrTcC3. The functional is PBE.

It has space group Pm-3m (No. 221), with a = 4.0912 Å, b = 4.0912 Å, c = 4.0912 Å, α = 90.00°, β = 90.00° and γ = 90.00°. The inequivalent atoms are Sr at (0.0000, 0.0000, 0.0000), Tc at (0.5000, 0.5000, 0.5000) and C at (0.0000, 0.5000, 0.5000).

The relative energy among the computed polymorphs is 0 meV/atom.

=====

This record from Alexandria via LeMat-Bulk describes an optimized crystal structure of SrTc3C. The functional is PBE.

It has space group Pm-3m (No. 221), with a = 4.2892 Å, b = 4.2892 Å, c = 4.2892 Å, α = 90.00°, β = 90.00° and γ = 90.00°. The inequivalent atoms are Sr at (0.0000, 0.0000, 0.0000), Tc at (0.0000, 0.5000, 0.5000) and C at (0.5000, 0.5000, 0.5000).

The relative energy among the computed polymorphs is 0 meV/atom.

=====

| no. | electronic total energy (eV/cell) | E_form (meV per atom) |
| --- | --- | --- |
| 1 | -19.7 | 979 |
| 2 | -102.9 | 47 |
| 3 | -34.6 | 1031 |
| 4 | -38.9 | 623 |